Record 1
The following is a DFT calculation (PBE) of a geometry-optimized Sr2Sn3BiPt4 structure. Values from VASP.

Quantum ESPRESSO input file:
```
&SYSTEM
  ibrav = 0, nat = 10, ntyp = 4
/
ATOMIC_SPECIES
Sr 87.62 Sr.upf
Sn 118.71 Sn.upf
Bi 208.98 Bi.upf
Pt 195.08 Pt.upf
ATOMIC_POSITIONS crystal
Sr 0.0000 0.5000 0.2380
Sr 0.5000 0.0000 0.7620
Sn 0.0000 0.5000 0.8814
Sn 0.5000 0.0000 0.1186
Sn 0.5000 0.5000 0.5000
Bi 0.0000 0.0000 0.5000
Pt 0.0000 0.0000 0.0000
Pt 0.0000 0.5000 0.6358
Pt 0.5000 0.0000 0.3642
Pt 0.5000 0.5000 0.0000
CELL_PARAMETERS angstrom
4.7574 0.0000 0.0000
0.0000 4.7574 0.0000
0.0000 0.0000 10.7950
```

Properties
- formation energy (eV/atom) = -0.732
- symmetry = P-4m2
- volume (A^3/atom) = 24.4
- DOS at the Fermi energy (states/eV/cell) = 5.0

Record 2
The following is a DFT calculation (PBE) of a geometry-optimized Cu2AgPd structure. Values from VASP.

Quantum ESPRESSO input file:
```
&SYSTEM
  ibrav = 0, nat = 4, ntyp = 3
/
ATOMIC_SPECIES
Cu 63.55 Cu.upf
Ag 107.87 Ag.upf
Pd 106.42 Pd.upf
ATOMIC_POSITIONS crystal
Cu 0.0000 0.0000 0.0000
Cu 0.2500 0.2500 0.2500
Ag 0.7500 0.7500 0.7500
Pd 0.5000 0.5000 0.5000
CELL_PARAMETERS angstrom
0.0000 3.0762 3.0762
3.0762 0.0000 3.0762
3.0762 3.0762 0.0000
```

Properties
- formation energy (eV/atom) = 0.052
- symmetry = F-43m
- volume (A^3/atom) = 14.6
- DOS at the Fermi energy (states/eV/cell) = 2.1

Record 3
The following is a DFT calculation (PBE) of a geometry-optimized YCuC structure. Values from VASP.

Quantum ESPRESSO input file:
```
&SYSTEM
  ibrav = 0, nat = 6, ntyp = 3
/
ATOMIC_SPECIES
Y 88.91 Y.upf
Cu 63.55 Cu.upf
C 12.01 C.upf
ATOMIC_POSITIONS crystal
Y 0.0000 0.0000 0.0000
Y 0.3295 0.4346 0.5986
Cu 0.5759 0.9686 0.3536
Cu 0.6910 0.4693 0.1757
C 0.0140 0.8709 0.6233
C 0.0618 0.8525 0.4058
CELL_PARAMETERS angstrom
3.8143 0.0000 0.0000
-1.0617 4.3185 0.0000
-1.4605 -0.8678 5.9544
```

Properties
- formation energy (eV/atom) = -0.020
- symmetry = P1
- volume (A^3/atom) = 16.3
- DOS at the Fermi energy (states/eV/cell) = 2.8

Record 4
The following is a DFT calculation (PBE) of a geometry-optimized KMnAlRu2 structure. Values from VASP.

Quantum ESPRESSO input file:
```
&SYSTEM
  ibrav = 0, nat = 5, ntyp = 4
/
ATOMIC_SPECIES
K 39.10 K.upf
Mn 54.94 Mn.upf
Al 26.98 Al.upf
Ru 101.07 Ru.upf
ATOMIC_POSITIONS crystal
K 0.0000 0.0000 0.0000
Mn 0.0000 0.0000 0.5000
Al 0.5000 0.5000 0.0000
Ru 0.0000 0.5000 0.5000
Ru 0.5000 0.0000 0.5000
CELL_PARAMETERS angstrom
4.4715 0.0000 0.0000
0.0000 4.4715 0.0000
0.0000 0.0000 5.0626
```

Properties
- formation energy (eV/atom) = 1.417
- symmetry = P4/mmm
- volume (A^3/atom) = 20.2
- DOS at the Fermi energy (states/eV/cell) = 5.9